The following is a PBE calculation of a geometry-optimized Nd4Tl2CdIn structure, from the Alexandria database.

Theoretical density   8.6 Mg/m³
Final energy   -30.7 eV per cell

POSCAR file:
```
Nd4Tl2CdIn
1.0
5.501 0.000 0.000
2.751 4.764 0.000
2.751 1.588 8.986
Nd Tl Cd In
4 2 1 1
Direct
0.375 0.375 0.874
0.875 0.875 0.375
0.125 0.125 0.625
0.625 0.625 0.126
0.747 0.747 0.758
0.253 0.253 0.242
0.000 0.000 0.000
0.500 0.500 0.500
```